(1)
Crystalline YTe3PbAu at its relaxed geometry, computed with PBE.

For the total energy, the calculation gives -54.32 eV/cell.

The space group is P2_1/m (No. 11) and the conventional cell measures 8.616, 4.327 and 10.355 Å, with angles of 90.00, 104.78 and 90.00 degrees. The distinct sites, in fractional coordinates, are Y at (0.187, 0.250, 0.176), Te at (0.079, 0.250, 0.861), Te at (0.225, 0.250, 0.477), Te at (0.429, 0.750, 0.141), Pb at (0.282, 0.750, 0.724) and Au at (0.414, 0.750, 0.405).

***

(2)
Crystalline Sm2GdIn at its relaxed geometry, computed with PBE.

The value obtained for the formation energy is -167 meV/atom. The density of states at the Fermi level comes out at 1.626 states/eV per atom.

The space group is Fm-3m (No. 225) and the conventional cell measures 7.812, 7.812 and 7.812 Å, with angles of 90.00, 90.00 and 90.00 degrees. The distinct sites, in fractional coordinates, are Sm at (0.250, 0.250, 0.250), Gd at (0.000, 0.000, 0.000) and In at (0.000, 0.000, 0.500).

***

(3)
Crystalline TiS3Br at its relaxed geometry, computed with PBE.

For the total energy, the calculation gives -17.14 eV/cell. The density of states at the Fermi level comes out at 1.194 states/eV per atom.

The space group is Pm-3m (No. 221) and the conventional cell measures 4.769, 4.769 and 4.769 Å, with angles of 90.00, 90.00 and 90.00 degrees. The distinct sites, in fractional coordinates, are Ti at (0.000, 0.000, 0.000), S at (0.000, 0.500, 0.500) and Br at (0.500, 0.500, 0.500).

***

(4)
Crystalline NaHPdRh2 at its relaxed geometry, computed with PBE.

For the total energy, the calculation gives -23.91 eV/cell. The density of states at the Fermi level comes out at 0.803 states/eV per atom.

The space group is P4/mmm (No. 123) and the conventional cell measures 3.875, 3.875 and 4.243 Å, with angles of 90.00, 90.00 and 90.00 degrees. The distinct sites, in fractional coordinates, are Na at (0.000, 0.000, 0.000), H at (0.000, 0.000, 0.500), Pd at (0.500, 0.500, 0.000) and Rh at (0.000, 0.500, 0.500).

***

(5)
Crystalline RbNa2Pb2 at its relaxed geometry, computed with PBE.

The value obtained for the formation energy is -86 meV/atom. The density of states at the Fermi level comes out at 0.459 states/eV per atom.

The space group is I4/mmm (No. 139) and the conventional cell measures 5.909, 5.909 and 11.099 Å, with angles of 90.00, 90.00 and 90.00 degrees. The distinct sites, in fractional coordinates, are Rb at (0.000, 0.000, 0.000), Na at (0.000, 0.500, 0.250) and Pb at (0.000, 0.000, 0.371).

***

(6)
Crystalline SrBeFe at its relaxed geometry, computed with PBE.

The value obtained for the formation energy is 1070 meV/atom. The density of states at the Fermi level comes out at 2.300 states/eV per atom.

The space group is F-43m (No. 216) and the conventional cell measures 6.454, 6.454 and 6.454 Å, with angles of 90.00, 90.00 and 90.00 degrees. The distinct sites, in fractional coordinates, are Sr at (0.000, 0.000, 0.000), Be at (0.000, 0.000, 0.500) and Fe at (0.250, 0.250, 0.750).

***

(7)
Crystalline OsRh2Br at its relaxed geometry, computed with PBE.

For the total energy, the calculation gives -93.87 eV/cell. The density of states at the Fermi level comes out at 1.279 states/eV per atom.

The space group is Fm-3m (No. 225) and the conventional cell measures 6.326, 6.326 and 6.326 Å, with angles of 90.00, 90.00 and 90.00 degrees. The distinct sites, in fractional coordinates, are Os at (0.000, 0.000, 0.000), Rh at (0.250, 0.250, 0.250) and Br at (0.000, 0.000, 0.500).

***

(8)
Crystalline PrDyGa at its relaxed geometry, computed with PBE.

The value obtained for the formation energy is -271 meV/atom. The density of states at the Fermi level comes out at 0.489 states/eV per atom.

The space group is P3m1 (No. 156) and the conventional cell measures 5.0303, 5.0303 and 3.8055 Å, with angles of 90.00, 90.00 and 120.00 degrees. The distinct sites, in fractional coordinates, are Pr at (0.0000, 0.0000, 0.0000), Dy at (0.6667, 0.3333, 0.4582) and Ga at (0.3333, 0.6667, 0.6430).

***

(9)
Crystalline Ag2Bi2Au at its relaxed geometry, computed with PBE.

The value obtained for the formation energy is 108 meV/atom. The density of states at the Fermi level comes out at 0.436 states/eV per atom.

The space group is P4/mbm (No. 127) and the conventional cell measures 7.301, 7.301 and 4.455 Å, with angles of 90.00, 90.00 and 90.00 degrees. The distinct sites, in fractional coordinates, are Ag at (0.137, 0.363, 0.000), Bi at (0.170, 0.670, 0.500) and Au at (0.000, 0.000, 0.000).

***

(10)
Crystalline MnCr2InH at its relaxed geometry, computed with PBE.

For the total energy, the calculation gives -25.84 eV/cell. The density of states at the Fermi level comes out at 1.601 states/eV per atom.

The space group is P4/mmm (No. 123) and the conventional cell measures 5.207, 5.207 and 3.289 Å, with angles of 90.00, 90.00 and 90.00 degrees. The distinct sites, in fractional coordinates, are Mn at (0.000, 0.000, 0.000), Cr at (0.000, 0.500, 0.500), In at (0.500, 0.500, 0.500) and H at (0.500, 0.500, 0.000).

***

(11)
Crystalline LiPrBeCd at its relaxed geometry, computed with PBE.

The value obtained for the formation energy is -50 meV/atom. The density of states at the Fermi level comes out at 0.312 states/eV per atom.

The space group is F-43m (No. 216) and the conventional cell measures 6.786, 6.786 and 6.786 Å, with angles of 90.00, 90.00 and 90.00 degrees. The distinct sites, in fractional coordinates, are Li at (0.000, 0.000, 0.000), Pr at (0.250, 0.250, 0.750), Be at (0.000, 0.000, 0.500) and Cd at (0.250, 0.250, 0.250).

***

(12)
Crystalline MgIrSe3 at its relaxed geometry, computed with PBE.

For the total energy, the calculation gives -19.63 eV/cell. The density of states at the Fermi level comes out at 1.666 states/eV per atom.

The space group is Pm-3m (No. 221) and the conventional cell measures 4.951, 4.951 and 4.951 Å, with angles of 90.00, 90.00 and 90.00 degrees. The distinct sites, in fractional coordinates, are Mg at (0.000, 0.000, 0.000), Ir at (0.500, 0.500, 0.500) and Se at (0.000, 0.500, 0.500).